This record from the Alexandria database describes TaTe2SI after structural relaxation. The functional is GGA-PBE.

distance to the lowest polymorph of the same formula	0.617	eV per atom
space group	P4/mmm (123)

Cell: 5.1482 5.1482 5.3707 Å, 90.00 90.00 90.00°
Closest atoms and distances in Å follow each position.
Positions (direct):
Te 0.0000 0.5000 0.0000  2 S 2.57
Te 0.5000 0.0000 0.0000  2 S 2.57
Ta 0.5000 0.5000 0.5000  4 I 3.64, 8 Te 3.72
I 0.0000 0.0000 0.5000  2 S 2.69
S 0.0000 0.0000 0.0000  4 Te 2.57, 2 I 2.69

This record from the Alexandria database describes Ca2Hg2Au3 after structural relaxation. The functional is GGA-PBE.

distance to the lowest polymorph of the same formula	0.082	eV per atom
space group	I2_13 (199)
formation enthalpy at 0 K	-448	meV per atom

Cell: 7.7295 7.7295 7.7295 Å, 109.47 109.47 109.47°
Closest atoms and distances in Å follow each position.
Positions (direct):
Ca 0.5000 0.4933 0.5000  1 Hg 2.96, 6 Au 3.07-3.20
Ca 0.5067 0.0067 0.0067  1 Hg 2.96, 6 Au 3.07-3.20
Ca 0.9933 0.5000 0.0000  1 Hg 2.96, 6 Au 3.07-3.20
Ca 0.0000 0.0000 0.4933  1 Hg 2.96, 6 Au 3.07-3.20
Au 0.9937 0.2437 0.2500  2 Hg 2.90, 4 Ca 3.07-3.20, 4 Au 3.12
Au 0.7500 0.4937 0.2437  2 Hg 2.90, 4 Ca 3.07-3.20, 4 Au 3.12
Au 0.2500 0.0063 0.2563  2 Hg 2.90, 4 Ca 3.07-3.20, 4 Au 3.12
Au 0.7563 0.7500 0.0063  2 Hg 2.90, 4 Ca 3.07-3.20, 4 Au 3.12
Au 0.7437 0.2500 0.4937  2 Hg 2.90, 4 Ca 3.07-3.20, 4 Au 3.12
Au 0.5063 0.2563 0.7500  2 Hg 2.90, 4 Ca 3.07-3.20, 4 Au 3.12
Hg 0.0000 0.0000 0.8765  3 Au 2.90, 1 Ca 2.96
Hg 0.1235 0.6235 0.6235  3 Au 2.90, 1 Ca 2.96
Hg 0.5000 0.8765 0.5000  3 Au 2.90, 1 Ca 2.96
Hg 0.3765 0.5000 0.0000  3 Au 2.90, 1 Ca 2.96

This record from the Alexandria database describes SrLa2Cd2 after structural relaxation. The functional is GGA-PBE.

distance to the lowest polymorph of the same formula	0.000	eV per atom
space group	P2_1/m (11)
formation enthalpy at 0 K	-239	meV per atom

Cell: 3.9412 5.7025 15.0030 Å, 90.00 97.58 90.00°
Closest atoms and distances in Å follow each position.
Positions (direct):
Cd 0.4562 0.7500 0.9127  6 La 3.37-3.47, 2 Sr 3.54
Cd 0.3566 0.2500 0.7127  4 La 3.34-3.45, 4 Sr 3.46-3.47
Cd 0.6434 0.7500 0.2873  4 La 3.34-3.45, 4 Sr 3.46-3.47
Cd 0.5438 0.2500 0.0873  6 La 3.37-3.47, 2 Sr 3.54
La 0.0487 0.7500 0.0967  8 Cd 3.37-3.47
La 0.9513 0.2500 0.9033  8 Cd 3.37-3.47
La 0.2332 0.7500 0.4685  2 Cd 3.34, 4 La 3.59
La 0.7668 0.2500 0.5315  2 Cd 3.34, 4 La 3.59
Sr 0.1429 0.2500 0.2850  6 Cd 3.46-3.54
Sr 0.8571 0.7500 0.7150  6 Cd 3.46-3.54

Question: Look up the distance to the lowest polymorph of the same formula of the third one.
Answer: 0.000 eV per atom